{
  "formula": "HgAs2P",
  "functional": "PBE-GGA",
  "state": "relaxed",
  "formation_energy_kj_per_mol_atoms": 57.6,
  "dos_at_fermi_per_ev_cell": 1.3,
  "spacegroup": "I4/mmm (139)",
  "e_above_lowest_polymorph_mev_per_atom": 362.3,
  "total_magnetization_mub_per_atom": 0.00,
  "lattice": [[4.570, -1.177, 0.000], [0.415, 4.701, 0.000], [-2.492, -1.762, 3.599]],
  "species": ["As", "As", "P", "Hg"],
  "fractional_positions": [[0.500, 0.500, 0.000], [0.000, 0.000, 0.000], [0.750, 0.250, 0.500], [0.250, 0.750, 0.500]]
}